Record 1
Compound: Zr3Be
Source: Alexandria
Functional: PBE
Structure: optimized geometry

The structure in POSCAR format:
```
Zr3Be
1.0
3.162 0.000 0.000
-1.581 2.738 0.000
0.000 0.000 9.422
Be Zr
1 3
direct
0.000 0.000 0.000
0.000 0.000 0.500
0.667 0.333 0.221
0.667 0.333 0.779
```

- Density of states at the Fermi level: 4.1 states/eV/cell
- ΔE to the lowest computed polymorph: 205 meV/atom
- Size of the total moment: 0.00 μB per cell
- Space group: P-6m2
- ΔE_f: 0.9 eV/f.u.
- Crystal system: hexagonal

=====

Record 2
Compound: Dy2IrPb
Source: Alexandria
Functional: PBE
Structure: optimized geometry

The structure in POSCAR format:
```
Dy2IrPb
1.0
3.494 0.000 0.000
0.000 3.494 0.000
0.000 0.000 8.030
Pb Ir Dy
1 1 2
direct
0.500 0.500 0.500
0.500 0.500 0.000
0.000 0.000 0.796
0.000 0.000 0.204
```

- Density of states at the Fermi level: 1.6 states/eV/cell
- ΔE to the lowest computed polymorph: 0 meV/atom
- Size of the total moment: 0.00 μB per cell
- Space group: P4/mmm
- ΔE_f: -2.7 eV/f.u.
- Crystal system: tetragonal

=====

Record 3
Compound: LiTaBe
Source: Alexandria
Functional: PBE
Structure: optimized geometry

The structure in POSCAR format:
```
LiTaBe
1.0
2.908 0.000 -0.005
0.000 3.996 0.000
-0.738 0.000 7.145
Be Li Ta
2 2 2
direct
0.189 0.250 0.723
0.811 0.750 0.277
0.754 0.250 0.008
0.246 0.750 0.992
0.317 0.250 0.375
0.683 0.750 0.625
```

- Density of states at the Fermi level: 1.8 states/eV/cell
- ΔE to the lowest computed polymorph: 42 meV/atom
- Size of the total moment: 0.00 μB per cell
- Space group: P2_1/m
- ΔE_f: 0.5 eV/f.u.
- Crystal system: monoclinic

=====

Record 4
Compound: BaLiRe2
Source: Alexandria
Functional: PBE
Structure: optimized geometry

The structure in POSCAR format:
```
BaLiRe2
1.0
-1.969 -0.410 -2.491
-0.109 -3.143 0.604
-6.717 -1.919 5.626
Ba Li Re
1 1 2
direct
0.000 0.524 0.479
0.500 0.671 0.827
0.000 0.974 0.024
0.500 0.331 0.169
```

- Density of states at the Fermi level: 3.3 states/eV/cell
- ΔE to the lowest computed polymorph: 0 meV/atom
- Size of the total moment: 0.00 μB per cell
- Space group: Pm
- ΔE_f: 2.0 eV/f.u.
- Crystal system: monoclinic

=====

What is the ΔE_f in the fourth record?
2.0 eV/f.u.

=====

Number 3 is which compound?
LiTaBe

=====

Repeat the fourth record exactly.
Compound: BaLiRe2
Source: Alexandria
Functional: PBE
Structure: optimized geometry

The structure in POSCAR format:
```
BaLiRe2
1.0
-1.969 -0.410 -2.491
-0.109 -3.143 0.604
-6.717 -1.919 5.626
Ba Li Re
1 1 2
direct
0.000 0.524 0.479
0.500 0.671 0.827
0.000 0.974 0.024
0.500 0.331 0.169
```

- Density of states at the Fermi level: 3.3 states/eV/cell
- ΔE to the lowest computed polymorph: 0 meV/atom
- Size of the total moment: 0.00 μB per cell
- Space group: Pm
- ΔE_f: 2.0 eV/f.u.
- Crystal system: monoclinic